# InPO4, relaxed, DFT PBE
data_InPO4
_chemical_formula_sum 'In4 P4 O16'
_space_group_name_H-M_alt 'C m c m'
_space_group_IT_number 63
_space_group_name_Hall '-C 2c 2'
_cell_length_a 5.3797
_cell_length_b 8.1597
_cell_length_c 6.9269
_cell_angle_alpha 90.00
_cell_angle_beta 90.00
_cell_angle_gamma 90.00
loop_
_atom_site_label
_atom_site_type_symbol
_atom_site_fract_x
_atom_site_fract_y
_atom_site_fract_z
_atom_site_occupancy
In1 In 0.0000 0.0000 0.0000 1
P1 P 0.0000 0.3499 0.2500 1
O1 O 0.0000 0.2518 0.0623 1
O2 O 0.2386 0.4635 0.2500 1
# - Energy relative to the elements, uncorrected: -2009 meV/atom
# - Total moment: 0.000 Bohr magnetons per cell
# - Crystal system: orthorhombic

# NaPm2I8, relaxed, DFT PBE
data_NaPm2I8
_chemical_formula_sum 'Na2 Pm4 I16'
_space_group_name_H-M_alt 'C 1 2/m 1'
_space_group_IT_number 12
_space_group_name_Hall '-C 2y'
_cell_length_a 20.0878
_cell_length_b 9.4181
_cell_length_c 6.2888
_cell_angle_alpha 90.00
_cell_angle_beta 97.55
_cell_angle_gamma 90.00
loop_
_atom_site_label
_atom_site_type_symbol
_atom_site_fract_x
_atom_site_fract_y
_atom_site_fract_z
_atom_site_occupancy
Na1 Na 0.0000 0.0000 0.0000 1
Pm1 Pm 0.1674 0.0000 0.7436 1
I1 I 0.0727 0.2457 0.7378 1
I2 I 0.1637 0.0000 0.2483 1
I3 I 0.1838 0.5000 0.1964 1
# - Energy relative to the elements, uncorrected: -1064 meV/atom
# - Total moment: 0.000 Bohr magnetons per cell
# - Crystal system: monoclinic

# NdCo3Ge3, relaxed, DFT PBE
data_NdCo3Ge3
_chemical_formula_sum 'Nd2 Co6 Ge6'
_space_group_name_H-M_alt 'P 63/m'
_space_group_IT_number 176
_space_group_name_Hall '-P 6c'
_cell_length_a 8.3085
_cell_length_b 8.3085
_cell_length_c 4.0571
_cell_angle_alpha 90.00
_cell_angle_beta 90.00
_cell_angle_gamma 120.00
loop_
_atom_site_label
_atom_site_type_symbol
_atom_site_fract_x
_atom_site_fract_y
_atom_site_fract_z
_atom_site_occupancy
Nd1 Nd 0.3333 0.6667 0.2500 1
Co1 Co 0.0571 0.8576 0.2500 1
Ge1 Ge 0.0960 0.7264 0.7500 1
# - Total moment: 0.000 Bohr magnetons per cell
# - ΔE_f: -331 meV/atom
# - Crystal system: hexagonal

# Er3VC3, relaxed, DFT PBE
data_Er3VC3
_chemical_formula_sum 'Er12 V4 C12'
_space_group_name_H-M_alt 'C m c m'
_space_group_IT_number 63
_space_group_name_Hall '-C 2c 2'
_cell_length_a 8.7490
_cell_length_b 10.3735
_cell_length_c 5.0327
_cell_angle_alpha 90.00
_cell_angle_beta 90.00
_cell_angle_gamma 90.00
loop_
_atom_site_label
_atom_site_type_symbol
_atom_site_fract_x
_atom_site_fract_y
_atom_site_fract_z
_atom_site_occupancy
Er1 Er 0.0000 0.1105 0.2500 1
Er2 Er 0.2184 0.3820 0.2500 1
V1 V 0.0000 0.3094 0.7500 1
C1 C 0.0000 0.1256 0.7500 1
C2 C 0.2055 0.3779 0.7500 1
# - Total moment: 0.407 Bohr magnetons per cell
# - ΔE_f: -353 meV/atom
# - Crystal system: orthorhombic

# Mn2Se, relaxed, DFT PBE
data_Mn2Se
_chemical_formula_sum 'Mn6 Se3'
_space_group_name_H-M_alt 'P -6 2 m'
_space_group_IT_number 189
_space_group_name_Hall 'P -6 -2'
_cell_length_a 6.4574
_cell_length_b 6.4574
_cell_length_c 3.3435
_cell_angle_alpha 90.00
_cell_angle_beta 90.00
_cell_angle_gamma 120.00
loop_
_atom_site_label
_atom_site_type_symbol
_atom_site_fract_x
_atom_site_fract_y
_atom_site_fract_z
_atom_site_occupancy
Mn1 Mn 0.0000 0.2616 0.0000 1
Mn2 Mn 0.0000 0.6018 0.5000 1
Se1 Se 0.0000 0.0000 0.5000 1
Se2 Se 0.3333 0.6667 0.0000 1
# - Energy relative to the elements, uncorrected: 36 meV/atom
# - Total moment: 13.431 Bohr magnetons per cell
# - Crystal system: hexagonal

# Ca4Np3MnN8, relaxed, DFT PBE
data_Ca4Np3MnN8
_chemical_formula_sum 'Ca12 Np9 Mn3 N24'
_space_group_name_H-M_alt 'R -3 m'
_space_group_IT_number 166
_space_group_name_Hall '-R 3 2"'
_cell_length_a 6.8406
_cell_length_b 6.8406
_cell_length_c 17.0067
_cell_angle_alpha 90.00
_cell_angle_beta 90.00
_cell_angle_gamma 120.00
loop_
_atom_site_label
_atom_site_type_symbol
_atom_site_fract_x
_atom_site_fract_y
_atom_site_fract_z
_atom_site_occupancy
Ca1 Ca 0.0000 0.0000 0.0000 1
Ca2 Ca 0.0000 0.5000 0.0000 1
Np1 Np 0.0000 0.5000 0.5000 1
Mn1 Mn 0.0000 0.0000 0.5000 1
N1 N 0.0000 0.0000 0.2411 1
N2 N 0.0116 0.5058 0.7619 1
# - Energy relative to the elements, uncorrected: -1011 meV/atom
# - Total moment: 35.976 Bohr magnetons per cell
# - Crystal system: trigonal